No. 1
## YThB4 (PBE)

Data for an optimized crystal structure of YThB4.

Lattice parameters (Å, degrees): 3.306 3.306 8.109 90.00 90.00 120.00
Positions (direct):
Y (0.000, 0.000, 0.000)
B (0.333, 0.667, 0.762)
Th (0.000, 0.000, 0.500)
B (0.667, 0.333, 0.762)
B (0.667, 0.333, 0.238)
B (0.333, 0.667, 0.238)

E, eV/atom: -7.275
SG: No. 191
Magnetic moment, μB per formula unit: 0.0

No. 2
## YThB4 (PBE)

Data for an optimized crystal structure of YThB4.

Lattice parameters (Å, degrees): 5.240 5.240 5.240 143.02 113.47 78.62
Positions (direct):
B (0.082, 0.749, 0.333)
B (0.918, 0.251, 0.667)
B (0.585, 0.251, 0.333)
Y (0.000, 0.000, 0.000)
B (0.415, 0.749, 0.667)
Th (0.500, 0.500, 0.000)

E, eV/atom: -7.236
SG: No. 71
Magnetic moment, μB per formula unit: 0.0

No. 3
## ThZnB4 (PBE)

Data for an optimized crystal structure of ThZnB4.

Lattice parameters (Å, degrees): 3.198 3.198 7.530 90.00 90.00 120.00
Positions (direct):
B (0.333, 0.667, 0.281)
B (0.667, 0.333, 0.719)
B (0.667, 0.333, 0.281)
B (0.333, 0.667, 0.719)
Th (0.000, 0.000, 0.000)
Zn (0.000, 0.000, 0.500)

E, eV/atom: -5.896
SG: No. 191
Magnetic moment, μB per formula unit: 0.0

No. 4
## ThZnB4 (PBE)

Data for an optimized crystal structure of ThZnB4.

Lattice parameters (Å, degrees): 5.271 5.271 5.271 144.49 119.73 71.95
Positions (direct):
B (0.418, 0.740, 0.678)
Th (0.000, 0.000, 0.000)
B (0.938, 0.260, 0.678)
B (0.062, 0.740, 0.322)
Zn (0.500, 0.500, 0.000)
B (0.582, 0.260, 0.322)

E, eV/atom: -5.947
SG: No. 71
Magnetic moment, μB per formula unit: 0.0

No. 5
## ThZnB (PBE)

Data for an optimized crystal structure of ThZnB.

Lattice parameters (Å, degrees): 4.404 4.404 4.404 60.00 60.00 60.00
Positions (direct):
Th (0.750, 0.750, 0.750)
B (0.250, 0.250, 0.250)
Zn (0.000, 0.000, 0.000)

E, eV/atom: -4.508
SG: No. 216
Magnetic moment, μB per formula unit: 0.0

No. 6
## ThZnB (PBE)

Data for an optimized crystal structure of ThZnB.

Lattice parameters (Å, degrees): 4.342 4.342 4.342 60.00 60.00 60.00
Positions (direct):
B (0.000, 0.000, 0.000)
Th (0.750, 0.750, 0.750)
Zn (0.250, 0.250, 0.250)

E, eV/atom: -5.097
SG: No. 216
Magnetic moment, μB per formula unit: 0.0